Record 1
A plane-wave DFT calculation with PBE-GGA was carried out for a geometry-optimized Yb3Mg4H14 structure.

Cell and atoms, written as POSCAR:
```
Yb3Mg4H14
1.0
-0.0416 5.8439 2.6689
-3.9360 -1.3203 -4.9032
-4.6348 -1.9750 4.2523
Yb Mg H
3 4 14
Cartesian
-1.5837 1.8012 -0.8896
-2.3688 -0.7946 -2.9509
-0.0250 3.5170 1.6062
-3.2225 -1.3732 2.9566
-1.4123 -0.6018 1.2958
-3.6571 2.4683 2.2711
-4.9552 0.0803 -0.2530
-3.0687 3.4899 -1.7237
-0.8994 -0.3017 -1.1204
-0.0095 1.3354 0.6099
-1.3397 3.4558 0.1449
-2.6378 1.0678 -2.3791
-4.7026 0.4771 1.9671
-5.4813 -2.1212 -0.0884
-3.1061 1.1574 0.5024
-3.8848 -1.4409 -1.5531
-3.1406 2.1847 4.4626
-1.5441 2.8650 2.9979
-5.3753 2.4902 0.4085
-3.2274 -1.2928 0.9925
-2.3270 0.3636 2.7432
```

## Properties
crystal system = hexagonal

Record 2
A plane-wave DFT calculation with PBE-GGA was carried out for a geometry-optimized Mg2ZnH2 structure.

Cell and atoms, written as POSCAR:
```
Mg2ZnH2
1.0
-1.3405 -1.3462 2.5807
2.8632 -1.1214 0.9023
1.7861 4.0137 5.0111
H Zn Mg
2 1 2
Cartesian
0.6034 0.7168 4.6667
2.7053 0.8293 3.8275
0.0000 0.0000 0.0000
1.0806 0.4009 2.7601
2.2282 1.1452 5.7341
```

## Properties
crystal system = tetragonal

| no. | DOS(E_F) (states/eV/atom) | DFT total energy (eV per atom) | total magnetization (μB/atom) |
| --- | --- | --- | --- |
| 1 | 2.067 | -2.87 | 0.034 |
| 2 | 0.216 | -2.28 | 0.000 |